1.
The following is a DFT calculation (PBE-GGA) of PPt2Cl after structural relaxation.

## Properties
Relative energy among the computed polymorphs, meV/atom: 96
E_form (uncorrected), eV/atom: -0.16
Total magnetic moment, μB/atom: 0.000
Electronic total energy, eV per formula unit: -19.99

Cell and atoms, written as POSCAR:
```
PPt2Cl
1.0
-1.7902 1.6908 2.2009
-0.0775 -0.9591 3.1594
4.9823 4.3709 3.1819
Cl P Pt
1 1 2
Cartesian
2.3360 3.8269 6.4067 Cl
0.7787 1.2756 2.1356 P
-1.6116 0.9207 5.4253 Pt
1.3012 2.3623 4.2061 Pt
```

2.
The following is a DFT calculation (PBE-GGA) of SrAlSiAg2 after structural relaxation.

## Properties
E_form (uncorrected), eV/atom: -0.28
Total magnetic moment, μB/atom: 0.000
Electronic total energy, eV per formula unit: -17.96

Cell and atoms, written as POSCAR:
```
SrAlSiAg2
1.0
4.2224 0.0000 0.0000
0.0000 4.4318 0.0000
-2.1112 -2.2159 5.7620
Sr Al Si Ag
1 1 1 2
Cartesian
0.0000 0.0000 5.0431 Sr
0.0000 2.2159 2.2255 Al
2.1112 2.2159 3.7383 Si
2.1112 0.0000 2.4173 Ag
0.0000 0.0000 0.5445 Ag
```

3.
The following is a DFT calculation (PBE-GGA) of Pm12Tm6Cd after structural relaxation.

## Properties
ΔE_f, kJ per mole of atoms: 11.3
Total magnetic moment, μB/atom: 0.000
Electronic total energy, eV per formula unit: -82.52

Cell and atoms, written as POSCAR:
```
Pm12Tm6Cd
1.0
8.6136 -0.3310 -0.8447
-0.8988 8.5730 -0.8447
-0.3098 -0.3310 8.6494
Pm Tm Cd
12 6 1
Cartesian
4.6639 1.0745 4.3826 Pm
0.7644 4.7237 4.3836 Pm
4.4215 4.7246 0.4915 Pm
2.7412 6.8365 2.5773 Pm
6.6406 3.1873 2.5763 Pm
2.9835 3.1864 6.4684 Pm
2.0044 -0.3283 6.1866 Pm
1.2588 5.9326 7.8019 Pm
8.1483 1.6476 5.3424 Pm
5.4006 8.2393 0.7733 Pm
6.1462 1.9783 -0.8420 Pm
-0.7433 6.2634 1.6175 Pm
0.9312 0.9989 3.2828 Tm
6.6284 4.5181 6.2338 Tm
4.0706 6.9159 6.2297 Tm
6.4739 6.9121 3.6771 Tm
0.7766 3.3928 0.7261 Tm
3.3344 0.9950 0.7302 Tm
0.0000 0.0000 0.0000 Cd
```

4.
The following is a DFT calculation (PBE-GGA) of LiAl4Au7 after structural relaxation.

## Properties
ΔE_f, kJ per mole of atoms: -31.9
Total magnetic moment, μB/atom: 0.000
Electronic total energy, eV per formula unit: -43.80

Cell and atoms, written as POSCAR:
```
LiAl4Au7
1.0
4.6083 0.0000 0.0000
2.3041 7.5571 -0.0336
2.3041 0.2609 6.1863
Li Al Au
1 4 7
Cartesian
0.0000 0.0000 0.0000 Li
4.6083 1.7178 3.8966 Al
4.6083 6.1002 2.2561 Al
6.9124 5.2004 5.7807 Al
2.3041 2.6176 0.3719 Al
6.9124 6.6422 3.5739 Au
2.3041 1.1758 2.5788 Au
2.3041 5.1229 1.1864 Au
6.9124 2.6950 4.9663 Au
4.6083 4.6288 4.4178 Au
2.3041 0.0000 0.0000 Au
4.6083 3.1892 1.7349 Au
```

5.
The following is a DFT calculation (PBE-GGA) of YRh2Pb after structural relaxation.

## Properties
ΔE_f, kJ per mole of atoms: -46.4
Total magnetic moment, μB/atom: 0.000
Electronic total energy, eV per formula unit: -26.80

Cell and atoms, written as POSCAR:
```
YRh2Pb
1.0
4.2563 0.0000 0.0000
0.0000 3.7158 0.0053
0.0000 1.8520 5.1376
Pb Y Rh
1 1 2
Cartesian
2.1282 4.4051 4.3045 Pb
0.0000 2.5533 2.0851 Y
0.0000 2.5490 4.9338 Rh
2.1282 0.6963 1.5284 Rh
```

6.
The following is a DFT calculation (PBE-GGA) of MnSi2Pd3 after structural relaxation.

## Properties
E_form (uncorrected), eV/atom: -0.53
Total magnetic moment, μB/atom: 0.558
Electronic total energy, eV per formula unit: -38.80

Cell and atoms, written as POSCAR:
```
MnSi2Pd3
1.0
-1.2756 -3.2360 -0.1951
5.8351 -2.4066 1.7670
-3.0026 0.5254 10.9184
Mn Si Pd
3 6 9
Cartesian
3.0573 -3.5070 7.0765 Mn
-1.2745 -2.0630 11.4480 Mn
1.5744 -3.1007 10.0336 Mn
3.8107 -2.0509 9.1038 Si
2.4565 -1.1360 2.7820 Si
0.3888 -0.7523 9.9372 Si
-0.9444 0.1573 3.5662 Si
5.1630 -4.0109 1.6662 Si
0.7075 -2.5301 6.2360 Si
0.3031 -2.2199 3.7352 Pd
-0.9949 -1.9680 8.0446 Pd
3.4933 -3.4629 3.4945 Pd
1.2518 -1.2280 12.1868 Pd
-0.2096 -0.2672 5.8032 Pd
1.8067 -1.1938 7.9901 Pd
0.4782 -0.2878 1.6469 Pd
-1.8932 0.1590 9.7431 Pd
2.6333 -1.3537 5.2372 Pd
```

7.
The following is a DFT calculation (PBE-GGA) of CeScSi2 after structural relaxation.

## Properties
Relative energy among the computed polymorphs, meV/atom: 0
E_form (uncorrected), eV/atom: -0.69
Total magnetic moment, μB/atom: 0.100
Electronic total energy, eV per formula unit: -25.86

Cell and atoms, written as POSCAR:
```
CeScSi2
1.0
4.2286 0.0000 -0.0291
0.0000 3.7955 0.0000
-2.0787 0.0000 5.2143
Ce Sc Si
1 1 2
Cartesian
0.9897 1.8977 2.1874 Ce
1.0094 0.0000 5.0691 Sc
-1.1090 1.8977 4.4854 Si
-1.1196 0.0000 2.9131 Si
```

8.
The following is a DFT calculation (PBE-GGA) of KIn2SnCl6 after structural relaxation.

## Properties
E_form (uncorrected), eV/atom: -1.10
Total magnetic moment, μB/atom: 0.000
Electronic total energy, eV per formula unit: -32.70

Cell and atoms, written as POSCAR:
```
KIn2SnCl6
1.0
7.6524 -0.0038 -0.0018
-3.8291 6.6304 0.0003
-3.8232 -2.2071 6.6330
K In Sn Cl
1 2 1 6
Cartesian
-3.7696 2.2393 3.3072 K
0.0577 4.4492 2.4223 In
0.0605 0.0292 5.9701 In
0.0570 4.4483 6.3420 Sn
-2.0032 4.5445 4.5388 Cl
2.7857 -0.0357 1.1690 Cl
2.4654 4.3243 1.1681 Cl
-1.2528 2.4234 1.1707 Cl
1.0039 2.6168 4.5380 Cl
-2.6534 -0.4420 4.5382 Cl
```

9.
The following is a DFT calculation (PBE-GGA) of TbDy3Co2 after structural relaxation.

## Properties
Relative energy among the computed polymorphs, meV/atom: 59
ΔE_f, kJ per mole of atoms: -9.0
Total magnetic moment, μB/atom: 0.000
Electronic total energy, eV per formula unit: -33.21

Cell and atoms, written as POSCAR:
```
TbDy3Co2
1.0
3.9630 0.0000 0.0000
1.9815 8.0367 -0.0480
1.9815 1.8455 9.6312
Tb Dy Co
2 6 4
Cartesian
3.9630 4.7572 6.6281 Tb
3.9630 5.1250 2.9550 Tb
1.9815 2.0184 7.7978 Dy
5.9445 7.8638 1.7854 Dy
5.9445 7.2266 9.0195 Dy
1.9815 2.6556 0.5637 Dy
5.9445 7.5973 5.3495 Dy
1.9815 2.2849 4.2337 Dy
5.9445 4.6204 8.4173 Co
1.9815 5.2618 1.1659 Co
3.9630 2.1507 6.0172 Co
3.9630 7.7315 3.5660 Co
```

10.
The following is a DFT calculation (PBE-GGA) of Sc2CdTc after structural relaxation.

## Properties
ΔE_f, kJ per mole of atoms: 7.5
Total magnetic moment, μB/atom: 0.000
Electronic total energy, eV per formula unit: -23.63

Cell and atoms, written as POSCAR:
```
Sc2CdTc
1.0
1.8508 0.0000 10.0387
-0.9254 1.6028 10.0387
-0.9254 -1.6028 10.0387
Sc Tc Cd
2 1 1
Cartesian
0.0000 0.0000 27.0158 Sc
0.0000 0.0000 3.1002 Sc
0.0000 0.0000 15.0580 Tc
0.0000 0.0000 0.0000 Cd
```

11.
The following is a DFT calculation (PBE-GGA) of YS6Br2 after structural relaxation.

## Properties
E_form (uncorrected), eV/atom: -0.54
Total magnetic moment, μB/atom: 0.107
Electronic total energy, eV per formula unit: -39.47

Cell and atoms, written as POSCAR:
```
YS6Br2
1.0
-0.8964 -3.3803 -2.3326
8.3097 -1.3788 -0.7235
-3.9431 -3.4748 7.4296
Y S Br
1 6 2
Cartesian
0.0000 0.0000 0.0000 Y
2.2497 -4.7079 -0.3977 S
1.2205 -3.5260 4.7712 S
2.3259 -6.3789 2.6658 S
-0.5838 -5.3114 1.6978 S
4.0540 -2.9224 2.6757 S
1.1443 -1.8550 1.7077 S
6.2320 -3.2821 -0.9100 Br
-2.7618 -4.9518 5.2835 Br
```

12.
The following is a DFT calculation (PBE-GGA) of Sr2LaCdO after structural relaxation.

## Properties
E_form (uncorrected), eV/atom: -1.17
Total magnetic moment, μB/atom: 0.000
Electronic total energy, eV per formula unit: -20.02

Cell and atoms, written as POSCAR:
```
Sr2LaCdO
1.0
5.3538 0.0000 0.0000
0.0000 5.3538 0.0000
0.0000 0.0000 4.9443
Sr Cd O La
2 1 1 1
Cartesian
0.0000 2.6769 0.0000 Sr
2.6769 0.0000 0.0000 Sr
2.6769 2.6769 2.4722 Cd
0.0000 0.0000 0.0000 O
0.0000 0.0000 2.4722 La
```

13.
The following is a DFT calculation (PBE-GGA) of BeIn2OsBr after structural relaxation.

## Properties
Relative energy among the computed polymorphs, meV/atom: 260
E_form (uncorrected), eV/atom: 1.24
Total magnetic moment, μB/atom: 0.604
Electronic total energy, eV per formula unit: -15.92

Cell and atoms, written as POSCAR:
```
BeIn2OsBr
1.0
-0.1591 2.4325 -4.3171
-3.5537 -2.6563 -1.3657
-3.1859 3.2580 1.9532
Be Os Br In
1 1 1 2
Cartesian
0.0000 0.0000 0.0000 Be
-3.4494 1.5171 -1.8648 Os
-1.7769 -1.3281 -0.6829 Br
-1.5929 1.6290 0.9766 In
-0.0796 1.2163 -2.1585 In
```

14.
The following is a DFT calculation (PBE-GGA) of Sr2CeGa6 after structural relaxation.

## Properties
ΔE_f, kJ per mole of atoms: -48.3
Total magnetic moment, μB/atom: 0.114
Electronic total energy, eV per formula unit: -31.96

Cell and atoms, written as POSCAR:
```
Sr2CeGa6
1.0
-3.8604 2.3795 0.3160
-3.6962 -6.2555 1.9489
3.1081 4.3385 5.3017
Sr Ce Ga
2 1 6
Cartesian
0.8400 0.8072 4.1841 Sr
-5.2885 -0.3447 3.3824 Sr
0.0000 0.0000 0.0000 Ce
-2.1243 0.5572 2.5504 Ga
-2.3243 -0.0947 5.0161 Ga
0.1523 4.0967 3.7103 Ga
-1.2987 1.3369 6.7655 Ga
-3.1498 -0.8744 0.8010 Ga
-0.9046 2.6213 1.9074 Ga
```

15.
The following is a DFT calculation (PBE-GGA) of PrSm6Tm6 after structural relaxation.

## Properties
ΔE_f, kJ per mole of atoms: 24.5
Total magnetic moment, μB/atom: 0.204
Electronic total energy, eV per formula unit: -56.62

Cell and atoms, written as POSCAR:
```
PrSm6Tm6
1.0
6.6924 0.0002 0.0000
-3.3452 5.7964 0.0000
0.0000 0.0000 11.3898
Pr Sm Tm
1 6 6
Cartesian
0.0000 0.0000 0.0000 Pr
0.0000 0.0000 7.4452 Sm
0.0000 0.0000 3.9446 Sm
0.0010 3.8642 0.0000 Sm
3.3463 1.9324 0.0000 Sm
-0.0005 3.8650 5.6949 Sm
3.3478 1.9316 5.6949 Sm
-1.6726 2.8982 8.5925 Tm
3.3462 0.0001 8.5925 Tm
1.6736 2.8983 8.5915 Tm
3.3462 0.0001 2.7973 Tm
-1.6726 2.8982 2.7973 Tm
1.6736 2.8983 2.7983 Tm
```

16.
The following is a DFT calculation (PBE-GGA) of HoBe4B4 after structural relaxation.

## Properties
ΔE_f, kJ per mole of atoms: -14.1
Total magnetic moment, μB/atom: 0.000
Electronic total energy, eV per formula unit: -47.51

Cell and atoms, written as POSCAR:
```
HoBe4B4
1.0
4.8631 0.0000 0.0000
0.0000 4.8631 0.0000
0.0000 0.0000 6.7894
Ho Be B
2 8 8
Cartesian
0.0000 0.0000 0.0000 Ho
2.4316 2.4316 3.3947 Ho
1.3171 2.4316 5.9144 Be
3.5460 2.4316 5.9144 Be
2.4316 3.5460 0.8749 Be
2.4316 1.3171 0.8749 Be
0.0000 3.7487 2.5198 Be
0.0000 1.1145 2.5198 Be
1.1145 0.0000 4.2696 Be
3.7487 0.0000 4.2696 Be
2.4316 4.0499 5.6271 B
2.4316 0.8133 5.6271 B
4.0499 2.4316 1.1623 B
0.8133 2.4316 1.1623 B
1.6183 0.0000 2.2324 B
3.2448 0.0000 2.2324 B
0.0000 1.6183 4.5570 B
0.0000 3.2448 4.5570 B
```

17.
The following is a DFT calculation (PBE-GGA) of SrPm2F11 after structural relaxation.

## Properties
E_form (uncorrected), eV/atom: -3.03
Total magnetic moment, μB/atom: 0.215
Electronic total energy, eV per formula unit: -74.17

Cell and atoms, written as POSCAR:
```
SrPm2F11
1.0
7.0400 0.0000 3.6695
3.2770 8.3649 2.3010
-0.3521 -0.2664 9.2634
Sr Pm F
2 4 22
Cartesian
7.4737 6.0739 11.4254 Sr
2.4912 2.0246 3.8085 Sr
6.3737 5.6129 6.7382 Pm
3.5912 2.4856 8.4958 Pm
6.6115 1.2972 11.2891 Pm
3.3534 6.8013 3.9448 Pm
6.6398 6.0516 9.0278 F
3.3251 2.0469 6.2062 F
2.1584 4.3430 8.4445 F
9.0259 7.8048 12.4449 F
7.8065 3.7555 6.7894 F
0.9390 0.2937 2.7890 F
5.0306 6.0962 12.1151 F
4.9343 2.0023 3.1188 F
4.9825 4.0493 7.6170 F
0.0000 0.0000 0.0000 F
8.3522 6.7031 6.6511 F
1.6127 1.3954 8.5828 F
5.5498 2.3874 9.6174 F
4.4151 5.7111 5.6165 F
5.9098 7.9121 6.4675 F
4.0552 0.1864 8.7665 F
3.0101 2.2430 10.7713 F
1.1042 1.5398 5.8400 F
6.9548 5.8555 4.4626 F
8.8607 6.5587 9.3939 F
2.8657 4.5021 3.7195 F
7.0992 3.5964 11.5144 F
```

18.
The following is a DFT calculation (PBE-GGA) of HfSN2O after structural relaxation.

## Properties
E_form (uncorrected), eV/atom: 0.42
Total magnetic moment, μB/atom: 0.000
Electronic total energy, eV per formula unit: -33.57

Cell and atoms, written as POSCAR:
```
HfSN2O
1.0
4.3193 0.0000 0.0000
0.0000 4.3193 0.0000
0.0000 0.0000 3.9357
S Hf O N
1 1 1 2
Cartesian
2.1596 2.1596 1.9678 S
0.0000 0.0000 0.0000 Hf
0.0000 0.0000 1.9678 O
0.0000 2.1596 0.0000 N
2.1596 0.0000 0.0000 N
```

19.
The following is a DFT calculation (PBE-GGA) of ReOsAu2 after structural relaxation.

## Properties
Relative energy among the computed polymorphs, meV/atom: 215
ΔE_f, kJ per mole of atoms: 41.8
Total magnetic moment, μB/atom: 0.000
Electronic total energy, eV per formula unit: -28.50

Cell and atoms, written as POSCAR:
```
ReOsAu2
1.0
2.7591 0.0148 0.0000
-1.3031 2.4321 0.0000
0.0000 0.0000 9.9273
Au Os Re
2 1 1
Cartesian
0.0000 0.0000 9.8474 Au
0.7280 1.2234 2.5556 Au
0.0000 0.0000 5.1403 Os
0.7280 1.2234 7.2750 Re
```

20.
The following is a DFT calculation (PBE-GGA) of TbDySiAg after structural relaxation.

## Properties
E_form (uncorrected), eV/atom: -0.44
Total magnetic moment, μB/atom: 0.000
Electronic total energy, eV per formula unit: -19.29

Cell and atoms, written as POSCAR:
```
TbDySiAg
1.0
-3.7976 -3.3364 0.1260
0.9002 -4.8910 -0.9147
-0.2818 -3.3690 3.7602
Si Tb Ag Dy
1 1 1 1
Cartesian
-2.3843 -8.6973 2.2286 Si
0.0000 0.0000 0.0000 Tb
-0.7948 -2.8991 0.7429 Ag
-1.5896 -5.7982 1.4858 Dy
```

21.
The following is a DFT calculation (PBE-GGA) of Ca4As2P after structural relaxation.

## Properties
Relative energy among the computed polymorphs, meV/atom: 0
ΔE_f, kJ per mole of atoms: -96.6
Total magnetic moment, μB/atom: 0.000
Electronic total energy, eV per formula unit: -29.73

Cell and atoms, written as POSCAR:
```
Ca4As2P
1.0
7.4621 0.2281 -2.8926
-4.0282 6.5545 -2.2167
0.1402 -0.2280 8.0019
Ca As P
8 4 2
Cartesian
5.5691 0.9306 -0.0759 Ca
3.3457 4.5483 0.0759 Ca
-0.5729 3.3099 0.8525 Ca
-1.1939 4.3202 4.9327 Ca
2.0789 0.4246 1.9608 Ca
1.4580 1.4349 6.0410 Ca
5.0014 0.4246 3.9250 Ca
2.7780 4.0423 4.0769 Ca
4.1035 2.6005 -2.0005 As
-1.5716 5.6496 2.3385 As
0.4425 2.3724 3.4468 As
4.1735 2.4864 2.0005 As
0.7449 4.9729 -1.1083 P
0.0000 0.0000 0.0000 P
```

22.
The following is a DFT calculation (PBE-GGA) of RbTmAg2 after structural relaxation.

## Properties
ΔE_f, kJ per mole of atoms: -7.9
Total magnetic moment, μB/atom: 0.000
Electronic total energy, eV per formula unit: -11.47

Cell and atoms, written as POSCAR:
```
RbTmAg2
1.0
3.7626 0.0000 0.0000
0.0000 3.7626 0.0000
0.0000 0.0000 8.4646
Tm Rb Ag
1 1 2
Cartesian
1.8813 1.8813 0.0000 Tm
1.8813 1.8813 4.2323 Rb
0.0000 0.0000 6.9822 Ag
0.0000 0.0000 1.4824 Ag
```